Below is CsNbCu after structural relaxation, with properties calculated at the GGA-PBE level.

Unit cell a=7.3174 b=7.3174 c=7.3174 alpha=90.00 beta=90.00 gamma=90.00
Closest atoms and distances in Å follow each position.
Space group F-43m (No. 216)
Symmetry-distinct sites (fractional):
Cs1 0.0000 0.0000 0.0000 (multiplicity 4)  4 Cu 3.17
Nb1 0.0000 0.0000 0.5000 (multiplicity 4)  4 Cu 3.17
Cu1 0.2500 0.2500 0.2500 (multiplicity 4)  4 Nb 3.17, 4 Cs 3.17

Computed properties:
The calculation puts the final energy at -3.06 eV per atom.